Record 1
# PBE TlIn2HgIr, relaxed
data_TlIn2HgIr
_chemical_formula_sum 'Tl1 In2 Hg1 Ir1'
_cell_length_a 5.218
_cell_length_b 5.218
_cell_length_c 5.322
_cell_angle_alpha 90.00
_cell_angle_beta 90.00
_cell_angle_gamma 90.00
_symmetry_space_group_name_H-M 'P 4/m m m'
_symmetry_Int_Tables_number 123
_symmetry_space_group_name_Hall '-P 4 2'
loop_
_atom_site_label
_atom_site_fract_x
_atom_site_fract_y
_atom_site_fract_z
_atom_site_occupancy
Tl1 0.000 0.000 0.000 1
In1 0.000 0.500 0.500 1
Hg1 0.500 0.500 0.000 1
Ir1 0.000 0.000 0.500 1
# * electronic total energy: -17.3 eV/cell
# * total magnetization: 0.000 μB/cell
# * energy above the lowest structure with this stoichiometry: 0.000 eV/atom


Record 2
# PBE Ho2NiSb, relaxed
data_Ho2NiSb
_chemical_formula_sum 'Ho4 Ni2 Sb2'
_cell_length_a 6.017
_cell_length_b 4.087
_cell_length_c 8.196
_cell_angle_alpha 90.00
_cell_angle_beta 110.56
_cell_angle_gamma 90.00
_symmetry_space_group_name_H-M 'P 1 21/m 1'
_symmetry_Int_Tables_number 11
_symmetry_space_group_name_Hall '-P 2yb'
loop_
_atom_site_label
_atom_site_fract_x
_atom_site_fract_y
_atom_site_fract_z
_atom_site_occupancy
Ho1 0.175 0.250 0.399 1
Ho2 0.253 0.750 0.050 1
Ni1 0.133 0.250 0.791 1
Sb1 0.375 0.750 0.708 1
# * electronic total energy: -44.0 eV/cell
# * total magnetization: 0.000 μB/cell
# * ΔE_f (raw): -0.736 eV per atom


Record 3
# PBE PmThZnGa, relaxed
data_PmThZnGa
_chemical_formula_sum 'Pm4 Th4 Zn4 Ga4'
_cell_length_a 7.349
_cell_length_b 7.349
_cell_length_c 7.349
_cell_angle_alpha 90.00
_cell_angle_beta 90.00
_cell_angle_gamma 90.00
_symmetry_space_group_name_H-M 'F -4 3 m'
_symmetry_Int_Tables_number 216
_symmetry_space_group_name_Hall 'F -4 2 3'
loop_
_atom_site_label
_atom_site_fract_x
_atom_site_fract_y
_atom_site_fract_z
_atom_site_occupancy
Pm1 0.000 0.000 0.000 1
Th1 0.000 0.000 0.500 1
Zn1 0.250 0.250 0.750 1
Ga1 0.250 0.250 0.250 1
# * electronic total energy: -71.8 eV/cell
# * total magnetization: 0.000 μB/cell


Record 4
# PBE YTcRu2, relaxed
data_YTcRu2
_chemical_formula_sum 'Y1 Tc1 Ru2'
_cell_length_a 3.183
_cell_length_b 4.626
_cell_length_c 4.636
_cell_angle_alpha 90.00
_cell_angle_beta 91.15
_cell_angle_gamma 90.00
_symmetry_space_group_name_H-M 'P 1 m 1'
_symmetry_Int_Tables_number 6
_symmetry_space_group_name_Hall 'P -2y'
loop_
_atom_site_label
_atom_site_fract_x
_atom_site_fract_y
_atom_site_fract_z
_atom_site_occupancy
Y1 0.000 0.000 0.000 1
Tc1 0.117 0.500 0.522 1
Ru1 0.491 0.500 0.020 1
Ru2 0.495 0.000 0.494 1
# * electronic total energy: -34.7 eV/cell
# * total magnetization: 0.000 μB/cell
# * energy above the lowest structure with this stoichiometry: 0.087 eV/atom


Record 5
# PBE MoPdBr2, relaxed
data_MoPdBr2
_chemical_formula_sum 'Mo3 Pd3 Br6'
_cell_length_a 3.2743
_cell_length_b 3.2743
_cell_length_c 26.0984
_cell_angle_alpha 90.00
_cell_angle_beta 90.00
_cell_angle_gamma 120.00
_symmetry_space_group_name_H-M 'R -3 m'
_symmetry_Int_Tables_number 166
_symmetry_space_group_name_Hall '-R 3 2"'
loop_
_atom_site_label
_atom_site_fract_x
_atom_site_fract_y
_atom_site_fract_z
_atom_site_occupancy
Mo1 0.0000 0.0000 0.0000 1
Pd1 0.0000 0.0000 0.5000 1
Br1 0.0000 0.0000 0.4035 1
# * electronic total energy: -54.8 eV/cell
# * total magnetization: 0.000 μB/cell
# * ΔE_f (raw): 0.273 eV per atom
# * energy above the lowest structure with this stoichiometry: 0.000 eV/atom


Record 6
# PBE BaZnSe2, relaxed
data_BaZnSe2
_chemical_formula_sum 'Ba4 Zn4 Se8'
_cell_length_a 7.502
_cell_length_b 7.502
_cell_length_c 8.270
_cell_angle_alpha 90.00
_cell_angle_beta 90.00
_cell_angle_gamma 90.00
_symmetry_space_group_name_H-M 'I -4 2 d'
_symmetry_Int_Tables_number 122
_symmetry_space_group_name_Hall 'I -4 2bw'
loop_
_atom_site_label
_atom_site_fract_x
_atom_site_fract_y
_atom_site_fract_z
_atom_site_occupancy
Ba1 0.000 0.000 0.000 1
Zn1 0.000 0.000 0.500 1
Se1 0.169 0.250 0.625 1
# * electronic total energy: -61.1 eV/cell
# * total magnetization: 0.000 μB/cell
# * ΔE_f (raw): -1.279 eV per atom


Record 7
# PBE Sm2HoEr3As6, relaxed
data_Sm2HoEr3As6
_chemical_formula_sum 'Sm4 Ho2 Er6 As12'
_cell_length_a 17.995
_cell_length_b 4.132
_cell_length_c 8.257
_cell_angle_alpha 90.00
_cell_angle_beta 103.23
_cell_angle_gamma 90.00
_symmetry_space_group_name_H-M 'C 1 2/m 1'
_symmetry_Int_Tables_number 12
_symmetry_space_group_name_Hall '-C 2y'
loop_
_atom_site_label
_atom_site_fract_x
_atom_site_fract_y
_atom_site_fract_z
_atom_site_occupancy
Sm1 0.166 0.000 0.332 1
Ho1 0.000 0.500 0.000 1
Er1 0.000 0.500 0.500 1
Er2 0.167 0.000 0.834 1
As1 0.002 0.000 0.751 1
As2 0.165 0.500 0.588 1
As3 0.167 0.500 0.077 1
# * electronic total energy: -147.7 eV/cell
# * total magnetization: 0.000 μB/cell


Record 8
# PBE Bi2O3, relaxed
data_Bi2O3
_chemical_formula_sum 'Bi4 O6'
_cell_length_a 5.518
_cell_length_b 5.518
_cell_length_c 5.721
_cell_angle_alpha 90.00
_cell_angle_beta 90.00
_cell_angle_gamma 90.00
_symmetry_space_group_name_H-M 'P 42/m c m'
_symmetry_Int_Tables_number 132
_symmetry_space_group_name_Hall '-P 4c 2c'
loop_
_atom_site_label
_atom_site_fract_x
_atom_site_fract_y
_atom_site_fract_z
_atom_site_occupancy
Bi1 0.235 0.235 0.000 1
O1 0.000 0.000 0.250 1
O2 0.000 0.500 0.250 1
# * electronic total energy: -56.1 eV/cell
# * total magnetization: 0.000 μB/cell
# * ΔE_f (raw): -1.081 eV per atom


Record 9
# PBE Pm2Th3Te8, relaxed
data_Pm2Th3Te8
_chemical_formula_sum 'Pm4 Th6 Te16'
_cell_length_a 15.885
_cell_length_b 8.853
_cell_length_c 7.493
_cell_angle_alpha 90.00
_cell_angle_beta 106.87
_cell_angle_gamma 90.00
_symmetry_space_group_name_H-M 'C 1 2/m 1'
_symmetry_Int_Tables_number 12
_symmetry_space_group_name_Hall '-C 2y'
loop_
_atom_site_label
_atom_site_fract_x
_atom_site_fract_y
_atom_site_fract_z
_atom_site_occupancy
Pm1 0.245 0.000 0.326 1
Th1 0.000 0.000 0.500 1
Th2 0.000 0.249 0.000 1
Te1 0.113 0.500 0.895 1
Te2 0.123 0.253 0.417 1
Te3 0.128 0.000 0.910 1
# * electronic total energy: -144.5 eV/cell
# * total magnetization: 0.000 μB/cell
# * ΔE_f (raw): -1.180 eV per atom


Record 10
# PBE Mg2NbCu, relaxed
data_Mg2NbCu
_chemical_formula_sum 'Mg6 Nb3 Cu3'
_cell_length_a 2.8812
_cell_length_b 2.8812
_cell_length_c 30.4640
_cell_angle_alpha 90.00
_cell_angle_beta 90.00
_cell_angle_gamma 120.00
_symmetry_space_group_name_H-M 'R -3 m'
_symmetry_Int_Tables_number 166
_symmetry_space_group_name_Hall '-R 3 2"'
loop_
_atom_site_label
_atom_site_fract_x
_atom_site_fract_y
_atom_site_fract_z
_atom_site_occupancy
Mg1 0.0000 0.0000 0.0953 1
Nb1 0.0000 0.0000 0.0000 1
Cu1 0.0000 0.0000 0.5000 1
# * electronic total energy: -47.7 eV/cell
# * total magnetization: 0.000 μB/cell
# * energy above the lowest structure with this stoichiometry: 0.000 eV/atom


Record 11
# PBE HoErSc, relaxed
data_HoErSc
_chemical_formula_sum 'Ho2 Er2 Sc2'
_cell_length_a 4.662
_cell_length_b 4.662
_cell_length_c 8.269
_cell_angle_alpha 90.00
_cell_angle_beta 90.00
_cell_angle_gamma 90.00
_symmetry_space_group_name_H-M 'P 4/n m m'
_symmetry_Int_Tables_number 129
loop_
_symmetry_equiv_pos_as_xyz
'x,y,z'
'-x,-y,-z'
'-y+1/2,x,z'
'y+1/2,-x,-z'
'-x+1/2,-y+1/2,z'
'x+1/2,y+1/2,-z'
'y,-x+1/2,z'
'-y,x+1/2,-z'
'x+1/2,-y,-z'
'-x+1/2,y,z'
'-y,-x,-z'
'y,x,z'
'-x,y+1/2,-z'
'x,-y+1/2,z'
'y+1/2,x+1/2,-z'
'-y+1/2,-x+1/2,z'
loop_
_atom_site_label
_atom_site_fract_x
_atom_site_fract_y
_atom_site_fract_z
_atom_site_occupancy
Ho1 0.250 0.250 0.204 1
Er1 0.250 0.250 0.794 1
Sc1 0.250 0.750 0.500 1
# * electronic total energy: -29.7 eV/cell
# * total magnetization: 0.000 μB/cell
# * energy above the lowest structure with this stoichiometry: 0.171 eV/atom


Record 12
# PBE GeBrCl, relaxed
data_GeBrCl
_chemical_formula_sum 'Ge2 Br2 Cl2'
_cell_length_a 3.891
_cell_length_b 7.174
_cell_length_c 8.747
_cell_angle_alpha 72.00
_cell_angle_beta 77.36
_cell_angle_gamma 75.78
_symmetry_space_group_name_H-M 'P 1'
_symmetry_Int_Tables_number 1
_symmetry_space_group_name_Hall 'P 1'
loop_
_atom_site_label
_atom_site_fract_x
_atom_site_fract_y
_atom_site_fract_z
_atom_site_occupancy
Ge1 0.000 0.000 0.000 1
Ge2 0.402 0.914 0.280 1
Br1 0.512 0.182 0.809 1
Br2 0.891 0.730 0.471 1
Cl1 0.161 0.715 0.935 1
Cl2 0.240 0.198 0.346 1
# * electronic total energy: -20.0 eV/cell
# * total magnetization: 0.000 μB/cell
# * ΔE_f (raw): -0.624 eV per atom